[1]
First-principles (GGA-PBE) data for crystalline Mn2AlRh at its relaxed geometry, as listed in Alexandria via LeMat-Bulk.

a b c (Å): 4.8806 4.8806 4.1487
angles (deg): 69.18 69.18 33.92
Closest atoms and distances in Å follow each position.
Positions (direct):
Mn1 0.0008 0.0008 0.9977  4 Mn 2.50-2.53, 2 Rh 2.59, 2 Al 2.60
Mn2 0.4992 0.4992 0.5023  4 Mn 2.50-2.53, 2 Rh 2.59, 2 Al 2.60
Rh1 0.7500 0.7500 0.7500  4 Al 2.52, 4 Mn 2.59
Al1 0.2500 0.2500 0.2500  4 Rh 2.52, 4 Mn 2.60

Its volume is 12.80 Å³ per atom. Its size of the total moment is 3.8 μB/cell. The value obtained for the density of states at the Fermi level is 4.65 states/eV/f.u. As for the uncorrected energy: -7.587 eV/atom. The space group is C2/m.

[2]
First-principles (GGA-PBE) data for crystalline Tb2NdDy2Tm2 at its relaxed geometry, as listed in Alexandria via LeMat-Bulk.

a b c (Å): 3.4877 8.9664 8.3432
angles (deg): 116.08 90.00 101.21
Closest atoms and distances in Å follow each position.
Positions (direct):
Tb1 0.5722 0.1443 0.9129  3 Tb 3.45-3.49, 3 Dy 3.48, 2 Nd 3.55, 2 Tm 3.58-3.59
Tb2 0.4278 0.8557 0.0871  3 Tb 3.45-3.49, 3 Dy 3.48, 2 Nd 3.55, 2 Tm 3.58-3.59
Nd1 0.0000 0.0000 0.5000  2 Dy 3.42, 2 Nd 3.49, 4 Tb 3.55, 4 Tm 3.60
Dy1 0.2115 0.4230 0.7962  1 Nd 3.42, 3 Tm 3.44-3.51, 3 Tb 3.48, 4 Dy 3.49-3.51
Dy2 0.7885 0.5770 0.2038  1 Nd 3.42, 3 Tm 3.44-3.51, 3 Tb 3.48, 4 Dy 3.49-3.51
Tm1 0.6497 0.2995 0.3911  3 Dy 3.44-3.51, 4 Tm 3.49-3.61, 2 Tb 3.58-3.59, 2 Nd 3.60
Tm2 0.3503 0.7005 0.6089  3 Dy 3.44-3.51, 4 Tm 3.49-3.61, 2 Tb 3.58-3.59, 2 Nd 3.60

Its volume is 32.68 Å³ per atom. Its size of the total moment is 0.0 μB/cell. The value obtained for the density of states at the Fermi level is 11.07 states/eV/f.u. As for the uncorrected energy: -4.446 eV/atom. The space group is C2/m.

[3]
First-principles (GGA-PBE) data for crystalline ScZnBr2 at its relaxed geometry, as listed in Alexandria via LeMat-Bulk.

a b c (Å): 3.8810 3.8810 10.9980
angles (deg): 90.00 90.00 123.77
Closest atoms and distances in Å follow each position.
Positions (direct):
Br1 0.0000 0.0000 0.0748  2 Sc 2.66
Br2 0.0000 0.0000 0.4252  2 Sc 2.66
Sc1 0.5000 0.5000 0.2500  4 Br 2.66
Zn1 0.5000 0.5000 0.7500  6 Zn 3.66-3.88, 4 Br 4.01

Its volume is 34.43 Å³ per atom. Its size of the total moment is 0.7 μB/cell. The value obtained for the density of states at the Fermi level is 1.47 states/eV/f.u. As for the uncorrected energy: -3.464 eV/atom. The value obtained for the energy relative to the lowest polymorph listed for this composition is 179 meV/atom. The space group is Cmmm. The value obtained for the formation energy from raw total energies is -0.726 eV per atom.

[4]
First-principles (GGA-PBE) data for crystalline InCo2Br at its relaxed geometry, as listed in Alexandria via LeMat-Bulk.

a b c (Å): 6.3804 6.3804 4.3819
angles (deg): 90.04 90.04 30.00
Closest atoms and distances in Å follow each position.
Positions (direct):
Br1 0.7020 0.7020 0.2520  2 Co 2.46
Co1 0.9743 0.9743 0.2493  2 Co 2.25
Co2 0.3503 0.3503 0.2494  2 Co 2.25, 2 Br 2.46
In1 0.4734 0.4734 0.7494  6 Co 2.66-2.74

Its volume is 22.30 Å³ per atom. Its size of the total moment is 3.2 μB/cell. The value obtained for the density of states at the Fermi level is 4.19 states/eV/f.u. As for the uncorrected energy: -4.400 eV/atom. The value obtained for the energy relative to the lowest polymorph listed for this composition is 0 meV/atom. The space group is Cm. The value obtained for the formation energy from raw total energies is 0.255 eV per atom.

[5]
First-principles (GGA-PBE) data for crystalline YIr2Br2 at its relaxed geometry, as listed in Alexandria via LeMat-Bulk.

a b c (Å): 7.2149 7.2149 4.2057
angles (deg): 90.00 90.00 90.00
Closest atoms and distances in Å follow each position.
Positions (direct):
Y1 0.0000 0.0000 0.0000  4 Ir 2.89
Y2 0.5000 0.5000 0.0000  4 Ir 2.89
Ir1 0.3822 0.8822 0.0000  1 Ir 2.40, 2 Br 2.60
Ir2 0.8822 0.6178 0.0000  1 Ir 2.40, 2 Br 2.60
Ir3 0.6178 0.1178 0.0000  1 Ir 2.40, 2 Br 2.60
Ir4 0.1178 0.3822 0.0000  1 Ir 2.40, 2 Br 2.60
Br1 0.2315 0.7315 0.5000  2 Ir 2.60
Br2 0.7315 0.7685 0.5000  2 Ir 2.60
Br3 0.7685 0.2685 0.5000  2 Ir 2.60
Br4 0.2685 0.2315 0.5000  2 Ir 2.60

Its volume is 21.89 Å³ per atom. Its size of the total moment is 0.0 μB/cell. The value obtained for the density of states at the Fermi level is 3.27 states/eV/f.u. As for the uncorrected energy: -5.347 eV/atom. The value obtained for the energy relative to the lowest polymorph listed for this composition is 0 meV/atom. The space group is P4/mbm. The value obtained for the formation energy from raw total energies is 0.160 eV per atom.

[6]
First-principles (GGA-PBE) data for crystalline Y3HoC at its relaxed geometry, as listed in Alexandria via LeMat-Bulk.

a b c (Å): 5.0666 5.0666 5.0666
angles (deg): 90.00 90.00 90.00
Closest atoms and distances in Å follow each position.
Positions (direct):
Y1 0.0000 0.5000 0.0000  2 C 2.53
Y2 0.0000 0.0000 0.5000  2 C 2.53
Y3 0.5000 0.0000 0.0000  2 C 2.53
C1 0.0000 0.0000 0.0000  6 Y 2.53
Ho1 0.5000 0.5000 0.5000  12 Y 3.58

Its volume is 26.01 Å³ per atom. Its size of the total moment is 0.0 μB/cell. The value obtained for the density of states at the Fermi level is 6.20 states/eV/f.u. As for the uncorrected energy: -6.659 eV/atom. The space group is Pm-3m.

[7]
First-principles (GGA-PBE) data for crystalline MgOsSe2 at its relaxed geometry, as listed in Alexandria via LeMat-Bulk.

a b c (Å): 5.0166 3.4612 4.1287
angles (deg): 89.99 90.00 90.00
Closest atoms and distances in Å follow each position.
Positions (direct):
Mg1 0.0000 0.3758 0.4645  6 Se 2.60-2.77
Os1 0.5000 0.8749 0.7985  6 Se 2.58-2.71
Se1 0.0000 0.8753 0.9425  2 Os 2.58, 4 Mg 2.62-2.77
Se2 0.5000 0.3740 0.2944  2 Mg 2.60, 4 Os 2.68-2.71

Its volume is 17.92 Å³ per atom. Its size of the total moment is 0.0 μB/cell. The value obtained for the density of states at the Fermi level is 3.68 states/eV/f.u. As for the uncorrected energy: -4.947 eV/atom. The space group is Pm. The value obtained for the formation energy from raw total energies is 0.001 eV per atom.

[8]
First-principles (GGA-PBE) data for crystalline ZnRe2Ru at its relaxed geometry, as listed in Alexandria via LeMat-Bulk.

a b c (Å): 2.6874 2.6874 9.0509
angles (deg): 90.00 90.00 115.32
Closest atoms and distances in Å follow each position.
Positions (direct):
Re1 0.0000 0.0000 0.0030  2 Ru 2.66, 6 Re 2.69-2.88, 2 Zn 2.70
Re2 0.0000 0.0000 0.4970  2 Ru 2.66, 6 Re 2.69-2.88, 2 Zn 2.70
Ru1 0.5000 0.5000 0.2500  4 Re 2.66, 6 Ru 2.69-2.88
Zn1 0.5000 0.5000 0.7500  6 Zn 2.69-2.88, 4 Re 2.70

Its volume is 14.77 Å³ per atom. Its size of the total moment is 0.0 μB/cell. The value obtained for the density of states at the Fermi level is 3.53 states/eV/f.u. As for the uncorrected energy: -8.543 eV/atom. The space group is Cmmm.

[9]
First-principles (GGA-PBE) data for crystalline TbHoTlAu at its relaxed geometry, as listed in Alexandria via LeMat-Bulk.

a b c (Å): 3.6245 3.6245 7.7102
angles (deg): 90.00 90.00 90.00
Closest atoms and distances in Å follow each position.
Positions (direct):
Tb1 0.5000 0.5000 0.1254  4 Au 3.16, 4 Tl 3.31
Ho1 0.5000 0.5000 0.5845  4 Au 3.07, 4 Tl 3.30
Tl1 0.0000 0.0000 0.8538  4 Ho 3.30, 4 Tb 3.31, 4 Tl 3.62
Au1 0.0000 0.0000 0.3642  4 Ho 3.07, 4 Tb 3.16

Its volume is 25.32 Å³ per atom. Its size of the total moment is 0.0 μB/cell. The value obtained for the density of states at the Fermi level is 2.57 states/eV/f.u. As for the uncorrected energy: -4.320 eV/atom. The value obtained for the energy relative to the lowest polymorph listed for this composition is 0 meV/atom. The space group is P4mm.

[10]
First-principles (GGA-PBE) data for crystalline YTm7Sn2 at its relaxed geometry, as listed in Alexandria via LeMat-Bulk.

a b c (Å): 5.3976 8.8380 8.8380
angles (deg): 118.74 90.00 90.00
Closest atoms and distances in Å follow each position.
Positions (direct):
Y1 0.0000 0.0000 0.0000  10 Tm 3.46-3.67
Tm1 0.0000 0.7723 0.2277  2 Sn 2.94
Tm2 0.0000 0.2277 0.7723  2 Sn 2.94
Tm3 0.5000 0.0576 0.3047  2 Sn 3.07-3.20, 2 Tm 3.26-3.43
Tm4 0.5000 0.9424 0.6953  2 Sn 3.07-3.20, 2 Tm 3.26-3.43
Tm5 0.5000 0.3047 0.0576  2 Sn 3.07-3.20, 2 Tm 3.26-3.43
Tm6 0.5000 0.6953 0.9424  2 Sn 3.07-3.20, 2 Tm 3.26-3.43
Tm7 0.5000 0.5000 0.5000  2 Sn 2.97
Sn1 0.5000 0.6956 0.3044  7 Tm 2.94-3.20
Sn2 0.5000 0.3044 0.6956  7 Tm 2.94-3.20

Its volume is 36.97 Å³ per atom. Its size of the total moment is 0.7 μB/cell. The value obtained for the density of states at the Fermi level is 15.03 states/eV/f.u. As for the uncorrected energy: -4.394 eV/atom. The space group is Cmmm.